Computed, not measured: an optimized crystal structure of CsTiPb2 at the GGA-PBE level of DFT.

Cell lengths 6.655, 6.655, 9.890 Å; angles 70.34, 70.34, 90.00 degrees
Fractional positions:
Pb  0.376  0.125  0.250
Pb  0.374  0.625  0.250
Pb  0.375  0.624  0.750
Pb  0.875  0.626  0.750
Cs  0.000  0.000  0.000
Cs  0.750  0.250  0.500
Ti  0.500  0.500  0.000
Ti  0.250  0.750  0.500

Calculated values
Spin magnetization in μB per formula unit: 0.00
DFT formation energy in eV per atom: 0.282